An optimized crystal structure of BaHgAs2, computed with PBE.

abc: 5.6036 5.6036 3.5878
angles: 90.00 90.00 103.36
Atoms (fractional coordinates):
As  0.0000  0.0000  0.0000
As  0.5000  0.5000  0.0000
Hg  0.0000  0.5000  0.5000
Ba  0.5000  0.0000  0.5000

## Properties
**Total moment**: 0.00 μB/f.u.
**Energy**: -3.038 eV/atom
**Volume**: 109.6 Å³/cell